(1)
PBEsol HfTaRe2, optimized geometry; ΔE_f = -398 meV per atom
1.0
-1.723 3.770 -1.814
-3.478 2.090 2.003
0.630 3.987 2.045
Hf Re Ta
1 2 1
Direct
0.000 0.000 0.000
0.750 0.750 0.750
0.250 0.250 0.250
0.500 0.500 0.500

(2)
PBEsol HfReTe3, optimized geometry; raw formation energy = 461 kJ/mol of formula units
1.0
-3.740 -3.424 -0.871
3.416 -3.828 0.382
-0.902 -0.300 5.056
Te Re Hf
3 1 1
Direct
0.000 0.500 0.000
0.500 0.000 0.000
0.000 0.000 0.500
0.000 0.000 0.000
0.500 0.500 0.500

(3)
PBEsol Hf2TiRe, optimized geometry; ΔE_f = -136 meV per atom
1.0
-4.527 0.944 -0.510
-3.164 -3.341 0.685
-2.778 0.156 3.729
Hf Re Ti
2 1 1
Direct
0.750 0.750 0.750
0.250 0.250 0.250
0.500 0.500 0.500
0.000 0.000 0.000

(4)
PBEsol Hf2TlRe, optimized geometry; ΔE_f = 8 meV per atom
1.0
4.752 0.000 0.000
2.376 4.116 0.000
2.376 1.372 3.880
Hf Tl Re
2 1 1
Direct
0.250 0.250 0.250
0.750 0.750 0.750
0.500 0.500 0.500
0.000 0.000 0.000

(5)
PBEsol HfRe3W, optimized geometry; ΔE_f = 2793 meV per atom
1.0
-4.319 -0.660 -1.443
-1.387 -0.461 4.363
-0.771 4.530 0.234
Re W Hf
3 1 1
Direct
0.500 0.000 0.000
0.000 0.000 0.500
0.000 0.500 0.000
0.500 0.500 0.500
0.000 0.000 0.000

(6)
PBEsol YHf2Re2, optimized geometry; ΔE_f = 79 meV per atom
1.0
-3.779 -1.665 -1.182
1.584 -0.822 -3.907
2.814 -3.918 4.326
Re Y Hf
2 1 2
Direct
0.607 0.607 0.214
0.393 0.393 0.786
0.000 0.000 0.000
0.750 0.250 0.500
0.250 0.750 0.500

In order of appearance, magnetization = 0.000 0.213 0.479 0.000 0.000 0.000 μB/atom.